Material: Cr2CdPb
Method: DFT, GGA-PBE
State: optimized geometry

Unit cell a=9.580 b=9.580 c=9.580 alpha=18.61 beta=18.61 gamma=18.61
Last column: magnetic moment on the atom in μB.
Element x y z (fractional)
Cd1 0.737 0.737 0.737  0.00
Cr1 0.267 0.267 0.267  -1.95
Pb1 0.509 0.509 0.509  0.02
Cr2 0.987 0.987 0.987  1.96

Values from the calculation:
**Energy of formation from the pure elements**: 488.0 meV/atom
**ρ**: 8.990 g cm⁻³
**Total DFT energy (no corrections)**: -21.92 eV per cell